Record 1
A geometry-optimized Os4O11 structure. Source: OQMD, functional PBE.

Cell and atoms, written as CIF:
```
data_Os4O11
_cell_length_a 10.133
_cell_length_b 5.073
_cell_length_c 4.800
_cell_angle_alpha 102.68
_cell_angle_beta 100.28
_cell_angle_gamma 117.96
_space_group_name_H-M_alt 'P 1'
_space_group_IT_number 1
loop_
_space_group_symop_operation_xyz
'x,y,z'
loop_
_atom_site_label
_atom_site_fract_x
_atom_site_fract_y
_atom_site_fract_z
O1 0.280 0.916 0.190
O2 0.805 0.983 0.224
O3 0.987 0.597 0.228
O4 0.121 0.236 0.291
O5 0.591 0.185 0.292
O6 0.396 0.758 0.681
O7 0.883 0.772 0.694
O8 0.017 0.411 0.757
O9 0.205 0.042 0.769
O10 0.721 0.080 0.788
O11 0.521 0.467 0.927
Os1 0.947 0.176 0.008
Os2 0.605 0.901 0.015
Os3 0.393 0.066 0.946
Os4 0.057 0.832 0.977
```

Computed properties:
**Distance to the lowest polymorph of the same formula**: 21 meV per atom
**Size of the total moment**: 0.0 μB per formula unit
**Symmetry**: P1 (1)

Record 2
A geometry-optimized OsO structure. Source: OQMD, functional PBE.

Cell and atoms, written as CIF:
```
data_OsO
_cell_length_a 2.679
_cell_length_b 2.679
_cell_length_c 3.499
_cell_angle_alpha 90.00
_cell_angle_beta 90.00
_cell_angle_gamma 120.00
_space_group_name_H-M_alt 'P 1'
_space_group_IT_number 1
loop_
_space_group_symop_operation_xyz
'x,y,z'
loop_
_atom_site_label
_atom_site_fract_x
_atom_site_fract_y
_atom_site_fract_z
O1 0.667 0.333 0.750
Os1 0.333 0.667 0.250
```

Computed properties:
**Distance to the lowest polymorph of the same formula**: 115 meV per atom
**Size of the total moment**: 0.0 μB per formula unit
**Symmetry**: P-6m2 (187)

Record 3
A geometry-optimized Os4O11 structure. Source: OQMD, functional PBE.

Cell and atoms, written as CIF:
```
data_Os4O11
_cell_length_a 9.694
_cell_length_b 4.966
_cell_length_c 4.712
_cell_angle_alpha 104.83
_cell_angle_beta 99.03
_cell_angle_gamma 116.31
_space_group_name_H-M_alt 'P 1'
_space_group_IT_number 1
loop_
_space_group_symop_operation_xyz
'x,y,z'
loop_
_atom_site_label
_atom_site_fract_x
_atom_site_fract_y
_atom_site_fract_z
O1 0.798 0.961 0.224
O2 0.982 0.628 0.224
O3 0.286 0.894 0.237
O4 0.132 0.272 0.290
O5 0.622 0.250 0.297
O6 0.879 0.768 0.712
O7 0.409 0.770 0.728
O8 0.021 0.411 0.759
O9 0.203 0.018 0.763
O10 0.700 0.077 0.797
O11 0.529 0.401 0.816
Os1 0.584 0.820 0.024
Os2 0.940 0.198 0.024
Os3 0.478 0.024 0.477
Os4 0.074 0.864 0.968
```

Computed properties:
**Distance to the lowest polymorph of the same formula**: 93 meV per atom
**Size of the total moment**: 0.0 μB per formula unit
**Symmetry**: P1 (1)

Record 4
A geometry-optimized OsO structure. Source: OQMD, functional PBE.

Cell and atoms, written as CIF:
```
data_OsO
_cell_length_a 3.161
_cell_length_b 3.161
_cell_length_c 3.161
_cell_angle_alpha 60.00
_cell_angle_beta 60.00
_cell_angle_gamma 60.00
_space_group_name_H-M_alt 'P 1'
_space_group_IT_number 1
loop_
_space_group_symop_operation_xyz
'x,y,z'
loop_
_atom_site_label
_atom_site_fract_x
_atom_site_fract_y
_atom_site_fract_z
O1 0.000 0.000 0.000
Os1 0.500 0.500 0.500
```

Computed properties:
**Distance to the lowest polymorph of the same formula**: 768 meV per atom
**Size of the total moment**: 1.5 μB per formula unit
**Symmetry**: Fm-3m (225)

Record 5
A geometry-optimized Os4O11 structure. Source: OQMD, functional PBE.

Cell and atoms, written as CIF:
```
data_Os4O11
_cell_length_a 10.126
_cell_length_b 4.979
_cell_length_c 4.880
_cell_angle_alpha 103.95
_cell_angle_beta 100.55
_cell_angle_gamma 116.58
_space_group_name_H-M_alt 'P 1'
_space_group_IT_number 1
loop_
_space_group_symop_operation_xyz
'x,y,z'
loop_
_atom_site_label
_atom_site_fract_x
_atom_site_fract_y
_atom_site_fract_z
O1 0.975 0.593 0.195
O2 0.807 0.994 0.217
O3 0.293 0.007 0.259
O4 0.136 0.258 0.271
O5 0.584 0.156 0.288
O6 0.421 0.745 0.658
O7 0.877 0.744 0.694
O8 0.185 0.035 0.738
O9 0.042 0.415 0.773
O10 0.727 0.070 0.774
O11 0.501 0.465 0.920
Os1 0.606 0.917 0.010
Os2 0.308 0.306 0.590
Os3 0.068 0.829 0.963
Os4 0.938 0.157 0.992
```

Computed properties:
**Distance to the lowest polymorph of the same formula**: 0 meV per atom
**Size of the total moment**: 0.1 μB per formula unit
**Symmetry**: P1 (1)

Record 6
A geometry-optimized Os4O11 structure. Source: OQMD, functional PBE.

Cell and atoms, written as CIF:
```
data_Os4O11
_cell_length_a 9.986
_cell_length_b 4.912
_cell_length_c 4.819
_cell_angle_alpha 100.87
_cell_angle_beta 102.25
_cell_angle_gamma 117.73
_space_group_name_H-M_alt 'P 1'
_space_group_IT_number 1
loop_
_space_group_symop_operation_xyz
'x,y,z'
loop_
_atom_site_label
_atom_site_fract_x
_atom_site_fract_y
_atom_site_fract_z
O1 0.482 0.631 0.201
O2 0.792 0.930 0.203
O3 0.294 0.968 0.236
O4 0.998 0.544 0.258
O5 0.602 0.250 0.273
O6 0.365 0.764 0.695
O7 0.904 0.750 0.720
O8 0.515 0.437 0.750
O9 0.692 0.066 0.758
O10 0.210 0.079 0.802
O11 0.026 0.371 0.803
Os1 0.938 0.101 0.031
Os2 0.084 0.813 0.035
Os3 0.566 0.884 0.956
Os4 0.422 0.194 0.981
```

Computed properties:
**Distance to the lowest polymorph of the same formula**: 86 meV per atom
**Size of the total moment**: 0.0 μB per formula unit
**Symmetry**: P1 (1)

Record 7
A geometry-optimized Os2O5 structure. Source: OQMD, functional PBE.

Cell and atoms, written as CIF:
```
data_Os2O5
_cell_length_a 6.611
_cell_length_b 6.611
_cell_length_c 5.333
_cell_angle_alpha 101.02
_cell_angle_beta 101.02
_cell_angle_gamma 41.84
_space_group_name_H-M_alt 'P 1'
_space_group_IT_number 1
loop_
_space_group_symop_operation_xyz
'x,y,z'
loop_
_atom_site_label
_atom_site_fract_x
_atom_site_fract_y
_atom_site_fract_z
O1 0.836 0.961 0.034
O2 0.783 0.621 0.129
O3 0.419 0.581 0.250
O4 0.379 0.217 0.371
O5 0.039 0.164 0.466
O6 0.961 0.836 0.534
O7 0.621 0.783 0.629
O8 0.581 0.419 0.750
O9 0.217 0.379 0.871
O10 0.164 0.039 0.966
Os1 0.105 0.614 0.219
Os2 0.386 0.895 0.281
Os3 0.614 0.105 0.719
Os4 0.895 0.386 0.781
```

Computed properties:
**Distance to the lowest polymorph of the same formula**: 0 meV per atom
**Size of the total moment**: 0.0 μB per formula unit
**Symmetry**: C2/c (15)

Record 8
A geometry-optimized Os4O11 structure. Source: OQMD, functional PBE.

Cell and atoms, written as CIF:
```
data_Os4O11
_cell_length_a 9.943
_cell_length_b 4.958
_cell_length_c 4.702
_cell_angle_alpha 103.51
_cell_angle_beta 98.93
_cell_angle_gamma 116.12
_space_group_name_H-M_alt 'P 1'
_space_group_IT_number 1
loop_
_space_group_symop_operation_xyz
'x,y,z'
loop_
_atom_site_label
_atom_site_fract_x
_atom_site_fract_y
_atom_site_fract_z
O1 0.489 0.577 0.140
O2 0.961 0.550 0.166
O3 0.269 0.849 0.188
O4 0.798 0.972 0.224
O5 0.139 0.259 0.227
O6 0.605 0.270 0.298
O7 0.876 0.721 0.669
O8 0.406 0.734 0.728
O9 0.050 0.392 0.740
O10 0.710 0.044 0.765
O11 0.207 0.088 0.765
Os1 0.604 0.955 0.056
Os2 0.066 0.814 0.953
Os3 0.922 0.112 0.961
Os4 0.283 0.518 0.961
```

Computed properties:
**Distance to the lowest polymorph of the same formula**: 1 meV per atom
**Size of the total moment**: 0.1 μB per formula unit
**Symmetry**: P1 (1)

Record 9
A geometry-optimized Os4O5 structure. Source: OQMD, functional PBE.

Cell and atoms, written as CIF:
```
data_Os4O5
_cell_length_a 8.061
_cell_length_b 3.370
_cell_length_c 3.370
_cell_angle_alpha 90.00
_cell_angle_beta 90.00
_cell_angle_gamma 90.00
_space_group_name_H-M_alt 'P 1'
_space_group_IT_number 1
loop_
_space_group_symop_operation_xyz
'x,y,z'
loop_
_atom_site_label
_atom_site_fract_x
_atom_site_fract_y
_atom_site_fract_z
O1 0.313 0.500 0.000
O2 0.687 0.500 0.000
O3 0.313 0.000 0.500
O4 0.687 0.000 0.500
O5 0.500 0.500 0.500
Os1 0.000 0.000 0.000
Os2 0.500 0.000 0.000
Os3 0.160 0.500 0.500
Os4 0.840 0.500 0.500
```

Computed properties:
**Size of the total moment**: 0.6 μB per formula unit
**Symmetry**: P4/mmm (123)
**Raw total energy**: -7.379 eV/atom

Record 10
A geometry-optimized POsPdO structure. Source: OQMD, functional PBE.

Cell and atoms, written as CIF:
```
data_POsPdO
_cell_length_a 2.897
_cell_length_b 6.290
_cell_length_c 6.563
_cell_angle_alpha 90.00
_cell_angle_beta 90.00
_cell_angle_gamma 90.00
_space_group_name_H-M_alt 'P 1'
_space_group_IT_number 1
loop_
_space_group_symop_operation_xyz
'x,y,z'
loop_
_atom_site_label
_atom_site_fract_x
_atom_site_fract_y
_atom_site_fract_z
O1 0.000 0.879 0.105
O2 0.000 0.121 0.605
Os1 0.500 0.672 0.027
Os2 0.500 0.328 0.527
P1 0.500 0.350 0.189
P2 0.500 0.650 0.689
Pd1 0.000 0.719 0.424
Pd2 0.000 0.281 0.924
```

Computed properties:
**Distance to the lowest polymorph of the same formula**: 12 meV per atom
**Size of the total moment**: 0.0 μB per formula unit
**Symmetry**: Pmc2_1 (26)

Record 11
A geometry-optimized POsPdO structure. Source: OQMD, functional PBE.

Cell and atoms, written as CIF:
```
data_POsPdO
_cell_length_a 2.993
_cell_length_b 6.346
_cell_length_c 6.167
_cell_angle_alpha 90.00
_cell_angle_beta 90.00
_cell_angle_gamma 90.00
_space_group_name_H-M_alt 'P 1'
_space_group_IT_number 1
loop_
_space_group_symop_operation_xyz
'x,y,z'
loop_
_atom_site_label
_atom_site_fract_x
_atom_site_fract_y
_atom_site_fract_z
O1 0.000 0.843 0.214
O2 0.000 0.157 0.714
Os1 0.000 0.086 0.022
Os2 0.000 0.914 0.522
P1 0.500 0.356 0.075
P2 0.500 0.644 0.575
Pd1 0.500 0.307 0.434
Pd2 0.500 0.693 0.934
```

Computed properties:
**Distance to the lowest polymorph of the same formula**: 0 meV per atom
**Size of the total moment**: 0.0 μB per formula unit
**Symmetry**: Pmc2_1 (26)

Record 12
A geometry-optimized POsPdO structure. Source: OQMD, functional PBE.

Cell and atoms, written as CIF:
```
data_POsPdO
_cell_length_a 4.165
_cell_length_b 4.165
_cell_length_c 6.191
_cell_angle_alpha 90.00
_cell_angle_beta 90.00
_cell_angle_gamma 90.00
_space_group_name_H-M_alt 'P 1'
_space_group_IT_number 1
loop_
_space_group_symop_operation_xyz
'x,y,z'
loop_
_atom_site_label
_atom_site_fract_x
_atom_site_fract_y
_atom_site_fract_z
O1 0.000 0.000 0.000
O2 0.500 0.500 0.000
Os1 0.000 0.000 0.500
Os2 0.500 0.500 0.500
P1 0.500 0.000 0.325
P2 0.000 0.500 0.675
Pd1 0.000 0.500 0.070
Pd2 0.500 0.000 0.930
```

Computed properties:
**Distance to the lowest polymorph of the same formula**: 216 meV per atom
**Size of the total moment**: 0.0 μB per formula unit
**Symmetry**: P4/nmm (129)